No. 1
# InRuPtO6 | Alexandria via LeMat-Bulk | GGA-PBE | optimized geometry
data_InRuPtO6
_chemical_formula_sum 'In2 Ru2 Pt2 O12'
_cell_length_a 4.685
_cell_length_b 4.685
_cell_length_c 9.701
_cell_angle_alpha 90.00
_cell_angle_beta 90.00
_cell_angle_gamma 90.00
_symmetry_space_group_name_H-M 'P 42 n m'
_symmetry_Int_Tables_number 102
loop_
_symmetry_equiv_pos_as_xyz
'x,y,z'
'-y+1/2,x+1/2,z+1/2'
'-x,-y,z'
'y+1/2,-x+1/2,z+1/2'
'-x+1/2,y+1/2,z+1/2'
'y,x,z'
'x+1/2,-y+1/2,z+1/2'
'-y,-x,z'
loop_
_atom_site_label
_atom_site_type_symbol
_atom_site_fract_x
_atom_site_fract_y
_atom_site_fract_z
In1 In 0.000 0.000 0.000
Ru1 Ru 0.000 0.000 0.668
Pt1 Pt 0.000 0.000 0.332
O1 O 0.179 0.179 0.503
O2 O 0.195 0.195 0.826
O3 O 0.204 0.204 0.173
# - formation energy from raw total energies (eV per atom) = -0.882
# - M_tot (μB/f.u.) = 1.1
# - raw total energy (eV/cell) = -111.49

No. 2
# InPtSO2 | Alexandria via LeMat-Bulk | GGA-PBE | optimized geometry
data_InPtSO2
_chemical_formula_sum 'In1 Pt1 S1 O2'
_cell_length_a 3.634
_cell_length_b 3.634
_cell_length_c 7.510
_cell_angle_alpha 90.00
_cell_angle_beta 90.00
_cell_angle_gamma 90.00
_symmetry_space_group_name_H-M 'P 4/m m m'
_symmetry_Int_Tables_number 123
_symmetry_space_group_name_Hall '-P 4 2'
loop_
_atom_site_label
_atom_site_type_symbol
_atom_site_fract_x
_atom_site_fract_y
_atom_site_fract_z
In1 In 0.000 0.000 0.000
Pt1 Pt 0.500 0.500 0.000
S1 S 0.000 0.000 0.500
O1 O 0.000 0.500 0.500
# - formation energy from raw total energies (eV per atom) = 0.184
# - M_tot (μB/f.u.) = 0.0
# - raw total energy (eV/cell) = -21.90

No. 3
# InSbPtO6 | Alexandria via LeMat-Bulk | GGA-PBE | optimized geometry
data_InSbPtO6
_chemical_formula_sum 'In2 Sb2 Pt2 O12'
_cell_length_a 5.3083
_cell_length_b 5.3083
_cell_length_c 8.7505
_cell_angle_alpha 90.00
_cell_angle_beta 90.00
_cell_angle_gamma 120.00
_symmetry_space_group_name_H-M 'P -3 1 c'
_symmetry_Int_Tables_number 163
_symmetry_space_group_name_Hall '-P 3 2c'
loop_
_atom_site_label
_atom_site_type_symbol
_atom_site_fract_x
_atom_site_fract_y
_atom_site_fract_z
In1 In 0.3333 0.6667 0.2500
Sb1 Sb 0.0000 0.0000 0.0000
Pt1 Pt 0.3333 0.6667 0.7500
O1 O 0.0160 0.3389 0.6212
# - formation energy from raw total energies (eV per atom) = -1.016
# - M_tot (μB/f.u.) = 0.0
# - raw total energy (eV/cell) = -103.59

No. 4
# ScInPtO6 | Alexandria via LeMat-Bulk | GGA-PBE | optimized geometry
data_ScInPtO6
_chemical_formula_sum 'Sc2 In2 Pt2 O12'
_cell_length_a 4.801
_cell_length_b 4.801
_cell_length_c 9.770
_cell_angle_alpha 90.00
_cell_angle_beta 90.00
_cell_angle_gamma 90.00
_symmetry_space_group_name_H-M 'P 42 n m'
_symmetry_Int_Tables_number 102
loop_
_symmetry_equiv_pos_as_xyz
'x,y,z'
'-y+1/2,x+1/2,z+1/2'
'-x,-y,z'
'y+1/2,-x+1/2,z+1/2'
'-x+1/2,y+1/2,z+1/2'
'y,x,z'
'x+1/2,-y+1/2,z+1/2'
'-y,-x,z'
loop_
_atom_site_label
_atom_site_type_symbol
_atom_site_fract_x
_atom_site_fract_y
_atom_site_fract_z
Sc1 Sc 0.000 0.000 0.000
In1 In 0.000 0.000 0.335
Pt1 Pt 0.000 0.000 0.668
O1 O 0.185 0.185 0.827
O2 O 0.193 0.193 0.516
O3 O 0.213 0.213 0.163
# - formation energy from raw total energies (eV per atom) = -1.456
# - M_tot (μB/f.u.) = 0.0
# - raw total energy (eV/cell) = -115.92

No. 5
# Sr6In2PtO | Alexandria via LeMat-Bulk | GGA-PBE | optimized geometry
data_Sr6In2PtO
_chemical_formula_sum 'Sr12 In4 Pt2 O2'
_cell_length_a 7.831
_cell_length_b 11.040
_cell_length_c 7.830
_cell_angle_alpha 90.00
_cell_angle_beta 90.00
_cell_angle_gamma 90.00
_symmetry_space_group_name_H-M 'P m m n'
_symmetry_Int_Tables_number 59
loop_
_symmetry_equiv_pos_as_xyz
'x,y,z'
'-x,-y,-z'
'-x+1/2,-y+1/2,z'
'x+1/2,y+1/2,-z'
'x+1/2,-y,-z'
'-x+1/2,y,z'
'-x,y+1/2,-z'
'x,-y+1/2,z'
loop_
_atom_site_label
_atom_site_type_symbol
_atom_site_fract_x
_atom_site_fract_y
_atom_site_fract_z
Sr1 Sr 0.013 0.250 0.012
Sr2 Sr 0.013 0.250 0.487
Sr3 Sr 0.250 0.013 0.250
In1 In 0.250 0.000 0.750
Pt1 Pt 0.250 0.750 0.250
O1 O 0.250 0.250 0.250
# - formation energy from raw total energies (eV per atom) = -0.847
# - M_tot (μB/f.u.) = 0.0
# - raw total energy (eV/cell) = -70.06

No. 6
# SrInPtO6 | Alexandria via LeMat-Bulk | GGA-PBE | optimized geometry
data_SrInPtO6
_chemical_formula_sum 'Sr1 In1 Pt1 O6'
_cell_length_a 5.5094
_cell_length_b 5.5094
_cell_length_c 5.2826
_cell_angle_alpha 90.00
_cell_angle_beta 90.00
_cell_angle_gamma 120.00
_symmetry_space_group_name_H-M 'P 3 1 2'
_symmetry_Int_Tables_number 149
loop_
_symmetry_equiv_pos_as_xyz
'x,y,z'
'-y,x-y,z'
'-x+y,-x,z'
'-y,-x,-z'
'-x+y,y,-z'
'x,x-y,-z'
loop_
_atom_site_label
_atom_site_type_symbol
_atom_site_fract_x
_atom_site_fract_y
_atom_site_fract_z
Sr1 Sr 0.0000 0.0000 0.0000
In1 In 0.3333 0.6667 0.5000
Pt1 Pt 0.6667 0.3333 0.5000
O1 O 0.3844 0.0305 0.7105
# - formation energy from raw total energies (eV per atom) = -1.118
# - M_tot (μB/f.u.) = 2.4
# - raw total energy (eV/cell) = -50.28

No. 7
# InTePtO6 | Alexandria via LeMat-Bulk | GGA-PBE | optimized geometry
data_InTePtO6
_chemical_formula_sum 'In2 Te2 Pt2 O12'
_cell_length_a 4.843
_cell_length_b 4.843
_cell_length_c 9.748
_cell_angle_alpha 90.00
_cell_angle_beta 90.00
_cell_angle_gamma 90.00
_symmetry_space_group_name_H-M 'P 42 n m'
_symmetry_Int_Tables_number 102
loop_
_symmetry_equiv_pos_as_xyz
'x,y,z'
'-y+1/2,x+1/2,z+1/2'
'-x,-y,z'
'y+1/2,-x+1/2,z+1/2'
'-x+1/2,y+1/2,z+1/2'
'y,x,z'
'x+1/2,-y+1/2,z+1/2'
'-y,-x,z'
loop_
_atom_site_label
_atom_site_type_symbol
_atom_site_fract_x
_atom_site_fract_y
_atom_site_fract_z
In1 In 0.000 0.000 0.000
Te1 Te 0.000 0.000 0.669
Pt1 Pt 0.000 0.000 0.334
O1 O 0.182 0.182 0.500
O2 O 0.195 0.195 0.173
O3 O 0.199 0.199 0.826
# - formation energy from raw total energies (eV per atom) = -0.927
# - M_tot (μB/f.u.) = 0.0
# - raw total energy (eV/cell) = -100.03

No. 8
# InTe2PtO | Alexandria via LeMat-Bulk | GGA-PBE | optimized geometry
data_InTe2PtO
_chemical_formula_sum 'In1 Te2 Pt1 O1'
_cell_length_a 4.748
_cell_length_b 4.748
_cell_length_c 4.667
_cell_angle_alpha 90.00
_cell_angle_beta 90.00
_cell_angle_gamma 90.00
_symmetry_space_group_name_H-M 'P 4/m m m'
_symmetry_Int_Tables_number 123
_symmetry_space_group_name_Hall '-P 4 2'
loop_
_atom_site_label
_atom_site_type_symbol
_atom_site_fract_x
_atom_site_fract_y
_atom_site_fract_z
In1 In 0.000 0.000 0.000
Te1 Te 0.000 0.500 0.500
Pt1 Pt 0.500 0.500 0.000
O1 O 0.000 0.000 0.500
# - formation energy from raw total energies (eV per atom) = 0.200
# - M_tot (μB/f.u.) = 0.0
# - raw total energy (eV/cell) = -19.02

No. 9
# YInPtO6 | Alexandria via LeMat-Bulk | GGA-PBE | optimized geometry
data_YInPtO6
_chemical_formula_sum 'Y2 In2 Pt2 O12'
_cell_length_a 4.923
_cell_length_b 4.923
_cell_length_c 10.033
_cell_angle_alpha 90.00
_cell_angle_beta 90.00
_cell_angle_gamma 90.00
_symmetry_space_group_name_H-M 'P 42 n m'
_symmetry_Int_Tables_number 102
loop_
_symmetry_equiv_pos_as_xyz
'x,y,z'
'-y+1/2,x+1/2,z+1/2'
'-x,-y,z'
'y+1/2,-x+1/2,z+1/2'
'-x+1/2,y+1/2,z+1/2'
'y,x,z'
'x+1/2,-y+1/2,z+1/2'
'-y,-x,z'
loop_
_atom_site_label
_atom_site_type_symbol
_atom_site_fract_x
_atom_site_fract_y
_atom_site_fract_z
Y1 Y 0.000 0.000 0.000
In1 In 0.000 0.000 0.663
Pt1 Pt 0.000 0.000 0.330
O1 O 0.183 0.183 0.481
O2 O 0.191 0.191 0.180
O3 O 0.220 0.220 0.829
# - formation energy from raw total energies (eV per atom) = -1.446
# - M_tot (μB/f.u.) = 0.6
# - raw total energy (eV/cell) = -116.01

No. 10
# Zn2InPtO6 | Alexandria via LeMat-Bulk | GGA-PBE | optimized geometry
data_Zn2InPtO6
_chemical_formula_sum 'Zn8 In4 Pt4 O24'
_cell_length_a 10.792
_cell_length_b 9.207
_cell_length_c 5.967
_cell_angle_alpha 90.00
_cell_angle_beta 111.68
_cell_angle_gamma 90.00
_symmetry_space_group_name_H-M 'C 1 2/c 1'
_symmetry_Int_Tables_number 15
loop_
_symmetry_equiv_pos_as_xyz
'x,y,z'
'-x,-y,-z'
'-x,y,-z+1/2'
'x,-y,z+1/2'
'x+1/2,y+1/2,z'
'-x+1/2,-y+1/2,-z'
'-x+1/2,y+1/2,-z+1/2'
'x+1/2,-y+1/2,z+1/2'
loop_
_atom_site_label
_atom_site_type_symbol
_atom_site_fract_x
_atom_site_fract_y
_atom_site_fract_z
Zn1 Zn 0.195 0.066 0.130
In1 In 0.000 0.400 0.250
Pt1 Pt 0.000 0.245 0.750
O1 O 0.094 0.246 0.108
O2 O 0.109 0.413 0.684
O3 O 0.141 0.097 0.775
# - formation energy from raw total energies (eV per atom) = -0.979
# - M_tot (μB/f.u.) = 0.0
# - raw total energy (eV/cell) = -203.48

Question: Which formula does entry 7 have?
Answer: InTePtO6

Question: What is the raw total energy in the sixth record?
Answer: -50.28 eV/cell